No. 1
AcY2Cd | PBE-GGA | optimized geometry

```
data_AcY2Cd
_chemical_formula_sum 'Ac1 Y2 Cd1'
_symmetry_space_group_name_H-M 'P 4/m m m'
_symmetry_Int_Tables_number 123
_symmetry_space_group_name_Hall '-P 4 2'
_cell_length_a 5.681
_cell_length_b 5.681
_cell_length_c 3.899
_cell_angle_alpha 90.00
_cell_angle_beta 90.00
_cell_angle_gamma 90.00
loop_
_atom_site_label
_atom_site_type_symbol
_atom_site_fract_x
_atom_site_fract_y
_atom_site_fract_z
Ac1 Ac 0.000 0.000 0.000
Y1 Y 0.000 0.500 0.500
Cd1 Cd 0.500 0.500 0.000
```

Summary:
- Mass density: 6.8 g/cm3
- ΔH_f (0 K): 0.02 eV/atom
- D(E_F): 5.8 states/eV per cell
- Energy above the lowest structure with this stoichiometry: 158.0 meV/atom
- V: 31.456 Å³/atom

***

No. 2
K2LaTmSe4 | PBE-GGA | optimized geometry

```
data_K2LaTmSe4
_chemical_formula_sum 'K2 La1 Tm1 Se4'
_symmetry_space_group_name_H-M 'P 1 2/m 1'
_symmetry_Int_Tables_number 10
_symmetry_space_group_name_Hall '-P 2y'
_cell_length_a 7.459
_cell_length_b 4.303
_cell_length_c 8.077
_cell_angle_alpha 90.00
_cell_angle_beta 107.88
_cell_angle_gamma 90.00
loop_
_atom_site_label
_atom_site_type_symbol
_atom_site_fract_x
_atom_site_fract_y
_atom_site_fract_z
K1 K 0.000 0.000 0.000
K2 K 0.500 0.500 0.000
La1 La 0.000 0.500 0.500
Tm1 Tm 0.500 0.000 0.500
Se1 Se 0.250 0.000 0.709
Se2 Se 0.278 0.500 0.296
```

Summary:
- Mass density: 4.7 g/cm3
- Uncorrected formation energy: -1.780 eV/atom
- D(E_F): 0.0 states/eV per cell
- V: 30.835 Å³/atom

***

No. 3
CsAgGe3 | PBE-GGA | optimized geometry

```
data_CsAgGe3
_chemical_formula_sum 'Cs1 Ag1 Ge3'
_symmetry_space_group_name_H-M 'P m -3 m'
_symmetry_Int_Tables_number 221
_symmetry_space_group_name_Hall '-P 4 2 3'
_cell_length_a 5.287
_cell_length_b 5.287
_cell_length_c 5.287
_cell_angle_alpha 90.00
_cell_angle_beta 90.00
_cell_angle_gamma 90.00
loop_
_atom_site_label
_atom_site_type_symbol
_atom_site_fract_x
_atom_site_fract_y
_atom_site_fract_z
Cs1 Cs 0.000 0.000 0.000
Ag1 Ag 0.500 0.500 0.500
Ge1 Ge 0.000 0.500 0.500
```

Summary:
- Mass density: 5.2 g/cm3
- ΔH_f (0 K): 0.57 eV/atom
- D(E_F): 5.0 states/eV per cell
- Energy above the lowest structure with this stoichiometry: 0.0 meV/atom
- V: 29.564 Å³/atom

***

| no. | final energy (eV for the cell shown) |
| --- | --- |
| 1 | -17.9 |
| 2 | -39.8 |
| 3 | -14.7 |